# 1
# Ta2CdBi

A relaxed structure of Ta2CdBi (GGA-PBE, the Alexandria database).

The excess energy over the best structure of this formula in the dataset comes out at 0.0000 eV/atom. The volume comes out at 20.5 Å³/atom. The density of states at the Fermi level comes out at 6.11 states/eV/f.u. As for the magnetization: 0.0 Bohr magnetons per cell. As for the formation enthalpy at 0 K: 0.741 eV per atom. The final energy is -102.15 eV/cell.

The structure belongs to space group Fm-3m (No. 225); the cell edges are 6.8943, 6.8943 and 6.8943 Å and the angles 90.00°, 90.00° and 90.00°. The asymmetric unit holds Ta at (0.2500, 0.2500, 0.2500), Cd at (0.0000, 0.0000, 0.0000) and Bi at (0.0000, 0.0000, 0.5000).

=====

# 2
# Ta3CdBi

A relaxed structure of Ta3CdBi (GGA-PBE, the Alexandria database).

The excess energy over the best structure of this formula in the dataset comes out at 0.0000 eV/atom. The volume comes out at 25.4 Å³/atom. The density of states at the Fermi level comes out at 6.45 states/eV/f.u. As for the magnetization: 0.0 Bohr magnetons per cell. As for the formation enthalpy at 0 K: 1.964 eV per atom. The final energy is -30.54 eV/cell.

The structure belongs to space group Pm-3m (No. 221); the cell edges are 5.0244, 5.0244 and 5.0244 Å and the angles 90.00°, 90.00° and 90.00°. The asymmetric unit holds Ta at (0.0000, 0.0000, 0.5000), Cd at (0.0000, 0.0000, 0.0000) and Bi at (0.5000, 0.5000, 0.5000).